1.
# TiGaRu2Au (PBE, relaxed)
# - N(E_F) (states/eV/atom) = 1.834
# - E_form (eV per formula unit) = 7.82
data_TiGaRu2Au
_cell_length_a 4.926
_cell_length_b 4.926
_cell_length_c 4.598
_cell_angle_alpha 90.00
_cell_angle_beta 90.00
_cell_angle_gamma 90.00
_symmetry_space_group_name_H-M 'P 4/m m m'
_symmetry_Int_Tables_number 123
_symmetry_space_group_name_Hall '-P 4 2'
loop_
_atom_site_label
_atom_site_fract_x
_atom_site_fract_y
_atom_site_fract_z
Ti1 0.000 0.000 0.000
Ga1 0.500 0.500 0.000
Ru1 0.000 0.500 0.500
Au1 0.000 0.000 0.500



2.
# CoIr2Cl (PBE, relaxed)
# - energy relative to the elements, uncorrected (eV per atom) = 0.45
# - N(E_F) (states/eV/atom) = 1.160
data_CoIr2Cl
_cell_length_a 2.773
_cell_length_b 2.773
_cell_length_c 8.725
_cell_angle_alpha 90.00
_cell_angle_beta 90.00
_cell_angle_gamma 90.00
_symmetry_space_group_name_H-M 'P 4 m m'
_symmetry_Int_Tables_number 99
loop_
_symmetry_equiv_pos_as_xyz
'x,y,z'
'-y,x,z'
'-x,-y,z'
'y,-x,z'
'-x,y,z'
'y,x,z'
'x,-y,z'
'-y,-x,z'
loop_
_atom_site_label
_atom_site_fract_x
_atom_site_fract_y
_atom_site_fract_z
Co1 0.000 0.000 0.000
Ir1 0.000 0.000 0.417
Ir2 0.500 0.500 0.212
Cl1 0.500 0.500 0.829



3.
# Sr2Zn5Au3 (PBE, relaxed)
# - N(E_F) (states/eV/atom) = 0.360
# - E_form (eV per formula unit) = -4.51
data_Sr2Zn5Au3
_cell_length_a 12.519
_cell_length_b 12.688
_cell_length_c 6.263
_cell_angle_alpha 90.00
_cell_angle_beta 119.36
_cell_angle_gamma 90.00
_symmetry_space_group_name_H-M 'C 1 2/c 1'
_symmetry_Int_Tables_number 15
loop_
_symmetry_equiv_pos_as_xyz
'x,y,z'
'-x,-y,-z'
'-x,y,-z+1/2'
'x,-y,z+1/2'
'x+1/2,y+1/2,z'
'-x+1/2,-y+1/2,-z'
'-x+1/2,y+1/2,-z+1/2'
'x+1/2,-y+1/2,z+1/2'
loop_
_atom_site_label
_atom_site_fract_x
_atom_site_fract_y
_atom_site_fract_z
Sr1 0.233 0.126 0.233
Zn1 0.000 0.275 0.250
Zn2 0.000 0.277 0.750
Zn3 0.000 0.500 0.250
Zn4 0.110 0.141 0.609
Au1 0.000 0.001 0.250
Au2 0.152 0.385 0.150